# 1
Compound: KTa2Pt
Source: Alexandria via LeMat-Bulk
Functional: PBE
Structure: optimized geometry

It has space group P4/mmm (No. 123), with a = 5.079 Å, b = 5.079 Å, c = 2.912 Å, α = 90.00°, β = 90.00° and γ = 90.00°. Symmetry generates all atoms from K at (0.000, 0.000, 0.000), Ta at (0.000, 0.500, 0.500) and Pt at (0.500, 0.500, 0.000).

The distance to the lowest polymorph of the same formula comes out at 995 meV per atom. The total moment is 0.0 μB/cell. The formation energy from the elements is 1.202 eV/atom.

# 2
Compound: KTaPt2
Source: Alexandria via LeMat-Bulk
Functional: PBE
Structure: optimized geometry

It has space group Cm (No. 8), with a = 11.112 Å, b = 2.798 Å, c = 5.188 Å, α = 90.00°, β = 104.88° and γ = 90.00°. Symmetry generates all atoms from K at (0.000, 0.000, 0.000), Ta at (0.295, 0.500, 0.373), Pt at (0.012, 0.500, 0.505) and Pt at (0.233, 0.000, 0.796).

The distance to the lowest polymorph of the same formula comes out at 348 meV per atom. The total moment is 0.0 μB/cell. The formation energy from the elements is 0.073 eV/atom.

# 3
Compound: KTa2Pt
Source: Alexandria via LeMat-Bulk
Functional: PBE
Structure: optimized geometry

It has space group R3m (No. 160, hexagonal axes), with a = 2.9292 Å, b = 2.9292 Å, c = 32.8863 Å, α = 90.00°, β = 90.00° and γ = 120.00°. Symmetry generates all atoms from K at (0.0000, 0.0000, 0.0000), Ta at (0.0000, 0.0000, 0.5116), Ta at (0.0000, 0.0000, 0.7672) and Pt at (0.0000, 0.0000, 0.2456).

The distance to the lowest polymorph of the same formula comes out at 190 meV per atom. The total moment is 1.1 μB/cell. The formation energy from the elements is 0.398 eV/atom.

# 4
Compound: K2TaPt
Source: Alexandria via LeMat-Bulk
Functional: PBE
Structure: optimized geometry

It has space group Pm (No. 6), with a = 3.502 Å, b = 3.506 Å, c = 10.813 Å, α = 90.00°, β = 90.90° and γ = 90.00°. Symmetry generates all atoms from K at (0.000, 0.000, 0.000), K at (0.469, 0.500, 0.408), Ta at (0.487, 0.500, 0.732) and Pt at (0.983, 0.000, 0.651).

The distance to the lowest polymorph of the same formula comes out at 0 meV per atom. The total moment is 0.0 μB/cell. The formation energy from the elements is 0.230 eV/atom.

# 5
Compound: KTa2Pt
Source: Alexandria via LeMat-Bulk
Functional: PBE
Structure: optimized geometry

It has space group F-43m (No. 216), with a = 6.804 Å, b = 6.804 Å, c = 6.804 Å, α = 90.00°, β = 90.00° and γ = 90.00°. Symmetry generates all atoms from K at (0.000, 0.000, 0.000), Ta at (0.000, 0.000, 0.500), Ta at (0.250, 0.250, 0.250) and Pt at (0.250, 0.250, 0.750).

The distance to the lowest polymorph of the same formula comes out at 837 meV per atom. The total moment is 0.0 μB/cell. The formation energy from the elements is 1.044 eV/atom.

# 6
Compound: KTaPt2
Source: Alexandria via LeMat-Bulk
Functional: PBE
Structure: optimized geometry

It has space group R-3m (No. 166, hexagonal axes), with a = 3.6808 Å, b = 3.6808 Å, c = 24.9390 Å, α = 90.00°, β = 90.00° and γ = 120.00°. Symmetry generates all atoms from K at (0.0000, 0.0000, 0.0000), Ta at (0.0000, 0.0000, 0.5000) and Pt at (0.0000, 0.0000, 0.2265).

The distance to the lowest polymorph of the same formula comes out at 123 meV per atom. The total moment is 0.0 μB/cell. The formation energy from the elements is -0.153 eV/atom.

# 7
Compound: KTaPt2
Source: Alexandria via LeMat-Bulk
Functional: PBE
Structure: optimized geometry

It has space group I-4m2 (No. 119), with a = 4.058 Å, b = 4.058 Å, c = 9.047 Å, α = 90.00°, β = 90.00° and γ = 90.00°. Symmetry generates all atoms from K at (0.000, 0.000, 0.000), Ta at (0.000, 0.500, 0.250), Pt at (0.000, 0.000, 0.500) and Pt at (0.000, 0.500, 0.750).

The distance to the lowest polymorph of the same formula comes out at 787 meV per atom. The total moment is 0.0 μB/cell. The formation energy from the elements is 0.512 eV/atom.

# 8
Compound: K2TaPt
Source: Alexandria via LeMat-Bulk
Functional: PBE
Structure: optimized geometry

It has space group P4/mmm (No. 123), with a = 3.938 Å, b = 3.938 Å, c = 5.984 Å, α = 90.00°, β = 90.00° and γ = 90.00°. Symmetry generates all atoms from K at (0.000, 0.500, 0.000), Ta at (0.000, 0.000, 0.500) and Pt at (0.500, 0.500, 0.500).

The distance to the lowest polymorph of the same formula comes out at 523 meV per atom. The total moment is 0.0 μB/cell. The formation energy from the elements is 0.753 eV/atom.

# 9
Compound: KTaPt4
Source: Alexandria via LeMat-Bulk
Functional: PBE
Structure: optimized geometry

It has space group F-43m (No. 216), with a = 7.576 Å, b = 7.576 Å, c = 7.576 Å, α = 90.00°, β = 90.00° and γ = 90.00°. Symmetry generates all atoms from K at (0.000, 0.000, 0.000), Ta at (0.250, 0.250, 0.250) and Pt at (0.125, 0.125, 0.625).

The total moment is 0.0 μB/cell. The formation energy from the elements is 0.064 eV/atom.

# 10
Compound: KTaPt2
Source: Alexandria via LeMat-Bulk
Functional: PBE
Structure: optimized geometry

It has space group Imm2 (No. 44), with a = 2.791 Å, b = 5.059 Å, c = 11.155 Å, α = 90.00°, β = 90.00° and γ = 90.00°. Symmetry generates all atoms from K at (0.000, 0.000, 0.000), Ta at (0.000, 0.500, 0.209), Pt at (0.000, 0.000, 0.503) and Pt at (0.000, 0.500, 0.777).

The distance to the lowest polymorph of the same formula comes out at 359 meV per atom. The total moment is 0.0 μB/cell. The formation energy from the elements is 0.083 eV/atom.

# 11
Compound: KTaPt2
Source: Alexandria via LeMat-Bulk
Functional: PBE
Structure: optimized geometry

It has space group P4/mmm (No. 123), with a = 3.033 Å, b = 3.033 Å, c = 8.797 Å, α = 90.00°, β = 90.00° and γ = 90.00°. Symmetry generates all atoms from K at (0.000, 0.000, 0.000), Ta at (0.000, 0.000, 0.500) and Pt at (0.500, 0.500, 0.303).

The distance to the lowest polymorph of the same formula comes out at 0 meV per atom. The total moment is 0.0 μB/cell. The formation energy from the elements is -0.275 eV/atom.

# 12
Compound: KTa2Pt
Source: Alexandria via LeMat-Bulk
Functional: PBE
Structure: optimized geometry

It has space group Cm (No. 8), with a = 10.348 Å, b = 2.884 Å, c = 7.129 Å, α = 90.00°, β = 100.34° and γ = 90.00°. Symmetry generates all atoms from K at (0.000, 0.000, 0.000), Ta at (0.041, 0.500, 0.495), Ta at (0.315, 0.500, 0.454) and Pt at (0.226, 0.000, 0.725).

The distance to the lowest polymorph of the same formula comes out at 271 meV per atom. The total moment is 0.0 μB/cell. The formation energy from the elements is 0.479 eV/atom.

- Which value of formation energy from the elements does entry 2 give?
  0.073 eV/atom